No. 1
The following is a DFT calculation (GGA-PBE) of an optimized crystal structure of NbV3W.

Cell: 6.8236 6.8236 5.3650 Å, 97.78 97.78 37.21°
With the nearest neighbours (Å) after each atom.
Sites, in units of the cell vectors:
1 Nb 0.1986 0.1986 0.1492  8 V 2.67-2.80
2 Nb 0.8014 0.8014 0.8508  8 V 2.67-2.80
3 V 0.0023 0.0023 0.7506  5 V 2.63-2.69, 2 W 2.69, 1 Nb 2.73
4 V 0.1969 0.1969 0.6459  1 V 2.66, 3 W 2.66-2.76, 4 Nb 2.67-2.71
5 V 0.4055 0.4055 0.0526  3 V 2.59-2.63, 2 W 2.67-2.69, 3 Nb 2.70-2.80
6 V 0.5945 0.5945 0.9474  3 V 2.59-2.63, 2 W 2.67-2.69, 3 Nb 2.70-2.80
7 V 0.8031 0.8031 0.3541  1 V 2.66, 3 W 2.66-2.76, 4 Nb 2.67-2.71
8 V 0.9977 0.9977 0.2494  5 V 2.63-2.69, 2 W 2.69, 1 Nb 2.73
9 W 0.4012 0.4012 0.5493  7 V 2.66-2.76, 1 W 2.68
10 W 0.5988 0.5988 0.4507  7 V 2.66-2.76, 1 W 2.68

Output
The calculation puts the distance to the lowest polymorph of the same formula at 0.000 eV per atom.



No. 2
The following is a DFT calculation (GGA-PBE) of an optimized crystal structure of Ac3CdP2N6.

Cell: 5.8463 5.8463 6.7141 Å, 90.00 90.00 120.00°
With the nearest neighbours (Å) after each atom.
Sites, in units of the cell vectors:
1 Ac 0.0000 0.0000 0.0000  6 N 2.63
2 Ac 0.3333 0.6667 0.6580  9 N 2.95-2.96, 1 P 3.10
3 Ac 0.6667 0.3333 0.3420  9 N 2.95-2.96, 1 P 3.10
4 Cd 0.0000 0.0000 0.5000  6 N 2.34
5 P 0.3333 0.6667 0.1958  3 N 1.66
6 P 0.6667 0.3333 0.8042  3 N 1.66
7 N 0.1801 0.3602 0.2826  1 P 1.66
8 N 0.1801 0.8199 0.2826  1 P 1.66
9 N 0.3602 0.1801 0.7174  1 P 1.66
10 N 0.6398 0.8199 0.2826  1 P 1.66
11 N 0.8199 0.1801 0.7174  1 P 1.66
12 N 0.8199 0.6398 0.7174  1 P 1.66

Output
The uncorrected formation energy is -74.8 kJ/mol of atoms.



No. 3
The following is a DFT calculation (GGA-PBE) of an optimized crystal structure of Al3VRe.

Cell: 4.7292 4.7292 4.7292 Å, 90.00 90.00 90.00°
With the nearest neighbours (Å) after each atom.
Sites, in units of the cell vectors:
1 Al 0.0000 0.0000 0.5000  2 Re 2.36
2 Al 0.0000 0.5000 0.0000  2 Re 2.36
3 Al 0.5000 0.0000 0.0000  2 Re 2.36
4 V 0.5000 0.5000 0.5000  12 Al 3.34
5 Re 0.0000 0.0000 0.0000  6 Al 2.36

Output
The calculation puts the distance to the lowest polymorph of the same formula at 0.000 eV per atom.



No. 4
The following is a DFT calculation (GGA-PBE) of an optimized crystal structure of AlFe2Te.

Cell: 8.7641 3.2073 4.2838 Å, 90.00 105.44 90.00°
With the nearest neighbours (Å) after each atom.
Sites, in units of the cell vectors:
1 Al 0.0000 0.0000 0.0000  7 Fe 2.51-2.76
2 Al 0.5000 0.5000 0.0000  7 Fe 2.51-2.76
3 Fe 0.0033 0.5000 0.5263  3 Te 2.54-2.58, 4 Al 2.59-2.76
4 Fe 0.2666 0.0000 0.8887  3 Al 2.51-2.54, 4 Te 2.63-2.73
5 Fe 0.5033 0.0000 0.5263  3 Te 2.54-2.58, 4 Al 2.59-2.76
6 Fe 0.7666 0.5000 0.8887  3 Al 2.51-2.54, 4 Te 2.63-2.73
7 Te 0.2636 0.5000 0.3728  7 Fe 2.54-2.73
8 Te 0.7636 0.0000 0.3728  7 Fe 2.54-2.73

Output
The calculation puts the distance to the lowest polymorph of the same formula at 0.058 eV per atom. The uncorrected formation energy is 17.7 kJ/mol of atoms.



no.,V (Å³ per atom),calculated total energy (eV per atom)
1,14.95,-10.076
2,16.56,-6.943
3,21.15,-5.922
4,14.51,-5.769